Computed, not measured: crystalline TmTe3Au2 at its relaxed geometry at the PBE-GGA level of DFT.

a = 7.709 Å, b = 4.189 Å, c = 12.030 Å
α = 90.00°, β = 108.35°, γ = 90.00°
Fractional coordinates of all 12 atoms:
Tm1 0.226 0.250 0.203
Tm2 0.774 0.750 0.797
Te1 0.043 0.750 0.313
Te2 0.310 0.750 0.031
Te3 0.380 0.750 0.647
Te4 0.620 0.250 0.353
Te5 0.690 0.250 0.969
Te6 0.957 0.250 0.687
Au1 0.069 0.250 0.929
Au2 0.427 0.750 0.408
Au3 0.573 0.250 0.592
Au4 0.931 0.750 0.071

**Space-group type**: P2_1/m
**DFT total energy**: -3.978 eV/atom
**Crystal system**: monoclinic
**Calculated volume**: 368.7 Å³/cell
**M_tot**: 0.00 μB/f.u.
**Raw formation energy**: -0.57 eV/atom
**Fermi-level density of states**: 5.21 states/eV per cell